1.
Here is a PBEsol-optimized structure of Ti2BTeOs from the Alexandria database. Energies are from meta-GGA SCAN.

Computed properties:
- raw formation energy (kcal/mol of atoms) = 47.877
- calculated volume (Å³/cell) = 113.5
- crystal system = tetragonal

The structure in CIF format:
```
data_Ti2BTeOs
_cell_length_a 4.895
_cell_length_b 4.895
_cell_length_c 4.735
_cell_angle_alpha 90.00
_cell_angle_beta 90.00
_cell_angle_gamma 90.00
_symmetry_space_group_name_H-M 'P 4/m m m'
_symmetry_Int_Tables_number 123
_symmetry_space_group_name_Hall '-P 4 2'
loop_
_atom_site_label
_atom_site_fract_x
_atom_site_fract_y
_atom_site_fract_z
_atom_site_occupancy
Ti1 0.000 0.500 0.000 1
B1 0.000 0.000 0.500 1
Te1 0.500 0.500 0.000 1
Os1 0.500 0.500 0.500 1
```


2.
Here is a PBEsol-optimized structure of ThB2Os2 from the Alexandria database. Energies are from meta-GGA SCAN.

Computed properties:
- calculated volume (Å³/cell) = 597.3
- ΔE_f (eV/atom) = -0.5711
- crystal system = orthorhombic

The structure in CIF format:
```
data_ThB2Os2
_cell_length_a 6.565
_cell_length_b 9.034
_cell_length_c 10.070
_cell_angle_alpha 90.00
_cell_angle_beta 90.00
_cell_angle_gamma 90.00
_symmetry_space_group_name_H-M 'F d d d'
_symmetry_Int_Tables_number 70
loop_
_symmetry_equiv_pos_as_xyz
'x,y,z'
'-x,-y,-z'
'-x+1/4,-y+1/4,z'
'x+1/4,y+1/4,-z'
'x,-y+1/4,-z+1/4'
'-x,y+1/4,z+1/4'
'-x+1/4,y,-z+1/4'
'x+1/4,-y,z+1/4'
'x,y+1/2,z+1/2'
'-x,-y+1/2,-z+1/2'
'-x+1/4,-y+3/4,z+1/2'
'x+1/4,y+3/4,-z+1/2'
'x,-y+3/4,-z+3/4'
'-x,y+3/4,z+3/4'
'-x+1/4,y+1/2,-z+3/4'
'x+1/4,-y+1/2,z+3/4'
'x+1/2,y,z+1/2'
'-x+1/2,-y,-z+1/2'
'-x+3/4,-y+1/4,z+1/2'
'x+3/4,y+1/4,-z+1/2'
'x+1/2,-y+1/4,-z+3/4'
'-x+1/2,y+1/4,z+3/4'
'-x+3/4,y,-z+3/4'
'x+3/4,-y,z+3/4'
'x+1/2,y+1/2,z'
'-x+1/2,-y+1/2,-z'
'-x+3/4,-y+3/4,z'
'x+3/4,y+3/4,-z'
'x+1/2,-y+3/4,-z+1/4'
'-x+1/2,y+3/4,z+1/4'
'-x+3/4,y+1/2,-z+1/4'
'x+3/4,-y+1/2,z+1/4'
loop_
_atom_site_label
_atom_site_fract_x
_atom_site_fract_y
_atom_site_fract_z
_atom_site_occupancy
Th1 0.125 0.125 0.125 1
B1 0.125 0.309 0.625 1
Os1 0.125 0.125 0.488 1
```


3.
Here is a PBEsol-optimized structure of Ti2B2Os from the Alexandria database. Energies are from meta-GGA SCAN.

Computed properties:
- calculated volume (Å³/cell) = 107.8
- ΔE_f (eV/atom) = -0.9910
- crystal system = tetragonal

The structure in CIF format:
```
data_Ti2B2Os
_cell_length_a 5.832
_cell_length_b 5.832
_cell_length_c 3.170
_cell_angle_alpha 90.00
_cell_angle_beta 90.00
_cell_angle_gamma 90.00
_symmetry_space_group_name_H-M 'P 4/m b m'
_symmetry_Int_Tables_number 127
_symmetry_space_group_name_Hall '-P 4 2ab'
loop_
_atom_site_label
_atom_site_fract_x
_atom_site_fract_y
_atom_site_fract_z
_atom_site_occupancy
Ti1 0.177 0.323 0.000 1
B1 0.111 0.611 0.500 1
Os1 0.000 0.000 0.500 1
```